# 1
## NaNd2Ni (GGA-PBE)

Data for a relaxed NaNd2Ni crystal.

CIF file:
```
data_NaNd2Ni
_symmetry_space_group_name_H-M 'P 4/m m m'
_symmetry_Int_Tables_number 123
_symmetry_space_group_name_Hall '-P 4 2'
_cell_length_a 3.4909
_cell_length_b 3.4909
_cell_length_c 9.5507
_cell_angle_alpha 90.00
_cell_angle_beta 90.00
_cell_angle_gamma 90.00
loop_
_atom_site_label
_atom_site_type_symbol
_atom_site_fract_x
_atom_site_fract_y
_atom_site_fract_z
Na1 Na 0.0000 0.0000 0.0000
Nd1 Nd 0.5000 0.5000 0.3256
Ni1 Ni 0.0000 0.0000 0.5000
```

Summary:
D(E_F): 2.917 states/eV/f.u.
V: 116.39 Å³ per cell
Formation enthalpy at 0 K: -0.0487 eV/atom
E above lowest polymorph: 0.0 meV per atom
VASP energy: -16.83 eV for the cell shown

# 2
## Ho2PaMnS6 (GGA-PBE)

Data for a relaxed Ho2PaMnS6 crystal.

CIF file:
```
data_Ho2PaMnS6
_symmetry_space_group_name_H-M 'P 4 m m'
_symmetry_Int_Tables_number 99
_symmetry_space_group_name_Hall 'P 4 -2'
_cell_length_a 6.6928
_cell_length_b 6.6928
_cell_length_c 5.7243
_cell_angle_alpha 90.00
_cell_angle_beta 90.00
_cell_angle_gamma 90.00
loop_
_atom_site_label
_atom_site_type_symbol
_atom_site_fract_x
_atom_site_fract_y
_atom_site_fract_z
Ho1 Ho 0.0000 0.5000 0.0000
Pa1 Pa 0.0000 0.0000 0.6646
Mn1 Mn 0.5000 0.5000 0.8811
S1 S 0.0000 0.0000 0.1968
S2 S 0.2630 0.2630 0.7614
S3 S 0.5000 0.5000 0.2631
```

Summary:
D(E_F): 1.566 states/eV/f.u.
V: 256.41 Å³ per cell
VASP energy: -64.90 eV for the cell shown
Raw formation energy: -1188 kJ/mol of formula units

# 3
## MnTlCd2 (GGA-PBE)

Data for a relaxed MnTlCd2 crystal.

CIF file:
```
data_MnTlCd2
_symmetry_space_group_name_H-M 'I 4/m m m'
_symmetry_Int_Tables_number 139
_symmetry_space_group_name_Hall '-I 4 2'
_cell_length_a 4.2933
_cell_length_b 4.2933
_cell_length_c 9.4069
_cell_angle_alpha 90.00
_cell_angle_beta 90.00
_cell_angle_gamma 90.00
loop_
_atom_site_label
_atom_site_type_symbol
_atom_site_fract_x
_atom_site_fract_y
_atom_site_fract_z
Mn1 Mn 0.0000 0.0000 0.0000
Tl1 Tl 0.0000 0.0000 0.5000
Cd1 Cd 0.0000 0.5000 0.2500
```

Summary:
D(E_F): 2.046 states/eV/f.u.
V: 173.39 Å³ per cell
Formation enthalpy at 0 K: 0.2956 eV/atom
E above lowest polymorph: 82.1 meV per atom
VASP energy: -24.37 eV for the cell shown

Q: Which value of VASP energy does entry 3 give?
A: -24.37 eV for the cell shown

Q: Which value of D(E_F) does entry 3 give?
A: 2.046 states/eV/f.u.

Q: Which of these has the lowest V?
A: NaNd2Ni

Q: Among the records above, which one has the highest V?
A: Ho2PaMnS6